This record from Alexandria via LeMat-Bulk describes Ba2NaGa12Pt3 after structural relaxation. The functional is PBE.

Cell: 9.285 9.285 9.285 Å, 55.63 55.63 55.63°
Positions (direct):
Ba 0.608 0.608 0.608
Ba 0.392 0.392 0.392
Na 0.000 0.000 0.000
Ga 0.343 0.343 0.865
Ga 0.844 0.844 0.500
Ga 0.500 0.844 0.844
Ga 0.865 0.343 0.343
Ga 0.844 0.500 0.844
Ga 0.343 0.865 0.343
Ga 0.657 0.657 0.135
Ga 0.156 0.156 0.500
Ga 0.500 0.156 0.156
Ga 0.135 0.657 0.657
Ga 0.156 0.500 0.156
Ga 0.657 0.135 0.657
Pt 0.500 0.000 0.000
Pt 0.000 0.500 0.000
Pt 0.000 0.000 0.500

E_tot (eV per atom): -3.466
Energy relative to the elements (eV per atom): -0.15